No. 1
Below is a relaxed structure of Ca3Cl, with properties calculated at the GGA-PBE level.

It has space group Imm2 (No. 44), with a = 3.706 Å, b = 11.375 Å, c = 6.663 Å, α = 90.00°, β = 90.00° and γ = 90.00°. Symmetry generates all atoms from Ca at (0.000, 0.000, 0.000), Ca at (0.000, 0.193, 0.487) and Cl at (0.000, 0.500, 0.140).

The value obtained for the mass density is 1.841 Mg/m³. The volume is 281 Å³/cell. For the final energy, the calculation gives -21.3 eV per cell. The calculation puts the formation energy from raw total energies at -0.70 eV/atom. The polymorph energy (0 for the lowest one) comes out at 0.088 eV per atom.

***

No. 2
Below is a relaxed structure of NbVSb2, with properties calculated at the GGA-PBE level.

It has space group R-3m (No. 166, hexagonal axes), with a = 3.1555 Å, b = 3.1555 Å, c = 29.2885 Å, α = 90.00°, β = 90.00° and γ = 120.00°. Symmetry generates all atoms from Nb at (0.0000, 0.0000, 0.0000), V at (0.0000, 0.0000, 0.5000) and Sb at (0.0000, 0.0000, 0.0976).

The value obtained for the mass density is 7.641 Mg/m³. The volume is 253 Å³/cell. For the final energy, the calculation gives -78.2 eV per cell. The calculation puts the formation energy from raw total energies at 0.35 eV/atom. The polymorph energy (0 for the lowest one) comes out at 0.268 eV per atom.

***

No. 3
Below is a relaxed structure of NaPuNb4N8, with properties calculated at the GGA-PBE level.

It has space group R3m (No. 160, hexagonal axes), with a = 6.4105 Å, b = 6.4105 Å, c = 15.7628 Å, α = 90.00°, β = 90.00° and γ = 120.00°. Symmetry generates all atoms from Na at (0.0000, 0.0000, 0.0000), Pu at (0.0000, 0.0000, 0.6037), Nb at (0.0000, 0.0000, 0.3700), Nb at (0.0116, 0.5058, 0.4951), N at (0.0000, 0.0000, 0.2334), N at (0.0000, 0.0000, 0.7504), N at (0.1742, 0.3484, 0.0891) and N at (0.1873, 0.3745, 0.5622).

The value obtained for the mass density is 6.666 Mg/m³. The volume is 561 Å³/cell. For the final energy, the calculation gives -396.4 eV per cell. The calculation puts the formation energy from raw total energies at -0.69 eV/atom.

***

No. 4
Below is a relaxed structure of Ho12In3Bi, with properties calculated at the GGA-PBE level.

It has space group P4/mmm (No. 123), with a = 4.828 Å, b = 4.828 Å, c = 19.282 Å, α = 90.00°, β = 90.00° and γ = 90.00°. Symmetry generates all atoms from Ho at (0.000, 0.000, 0.000), Ho at (0.000, 0.000, 0.250), Ho at (0.000, 0.000, 0.500), Ho at (0.000, 0.500, 0.125), Ho at (0.000, 0.500, 0.374), In at (0.500, 0.500, 0.000), In at (0.500, 0.500, 0.248) and Bi at (0.500, 0.500, 0.500).

The value obtained for the mass density is 9.356 Mg/m³. The volume is 449 Å³/cell. For the final energy, the calculation gives -71.5 eV per cell. Its formation energy is -0.280 eV per atom.

***

No. 5
Below is a relaxed structure of Fe2IrPt2, with properties calculated at the GGA-PBE level.

It has space group P4/mbm (No. 127), with a = 7.304 Å, b = 7.304 Å, c = 2.770 Å, α = 90.00°, β = 90.00° and γ = 90.00°. Symmetry generates all atoms from Fe at (0.167, 0.333, 0.000), Ir at (0.000, 0.000, 0.500) and Pt at (0.133, 0.633, 0.500).

The value obtained for the mass density is 15.597 Mg/m³. The volume is 148 Å³/cell. For the final energy, the calculation gives -74.7 eV per cell. The polymorph energy (0 for the lowest one) comes out at 0.215 eV per atom. Its formation energy is 0.105 eV per atom.

***

No. 6
Below is a relaxed structure of ErInSi2Pt5, with properties calculated at the GGA-PBE level.

It has space group P4/mmm (No. 123), with a = 3.977 Å, b = 3.977 Å, c = 11.557 Å, α = 90.00°, β = 90.00° and γ = 90.00°. Symmetry generates all atoms from Er at (0.000, 0.000, 0.000), In at (0.000, 0.000, 0.500), Si at (0.500, 0.500, 0.296), Pt at (0.000, 0.500, 0.183) and Pt at (0.500, 0.500, 0.500).

The value obtained for the mass density is 11.934 Mg/m³. The volume is 183 Å³/cell. For the final energy, the calculation gives -55.0 eV per cell. The calculation puts the formation energy from raw total energies at -0.74 eV/atom.

***

No. 7
Below is a relaxed structure of NaYAlW2, with properties calculated at the GGA-PBE level.

It has space group P4/mmm (No. 123), with a = 4.715 Å, b = 4.715 Å, c = 5.391 Å, α = 90.00°, β = 90.00° and γ = 90.00°. Symmetry generates all atoms from Na at (0.000, 0.000, 0.000), Y at (0.500, 0.500, 0.000), Al at (0.500, 0.500, 0.500) and W at (0.000, 0.500, 0.500).

The value obtained for the mass density is 7.018 Mg/m³. The volume is 120 Å³/cell. For the final energy, the calculation gives -30.1 eV per cell. Its formation energy is 1.464 eV per atom.

***

No. 8
Below is a relaxed structure of CdCoPt2, with properties calculated at the GGA-PBE level.

It has space group Imm2 (No. 44), with a = 2.843 Å, b = 4.672 Å, c = 9.523 Å, α = 90.00°, β = 90.00° and γ = 90.00°. Symmetry generates all atoms from Cd at (0.000, 0.000, 0.000), Co at (0.000, 0.500, 0.752), Pt at (0.000, 0.000, 0.473) and Pt at (0.000, 0.500, 0.231).

The value obtained for the mass density is 14.743 Mg/m³. The volume is 126 Å³/cell. For the final energy, the calculation gives -40.1 eV per cell. Its formation energy is 0.018 eV per atom.

***

No. 9
Below is a relaxed structure of TbTm4Ru2, with properties calculated at the GGA-PBE level.

It has space group P2_1/m (No. 11), with a = 7.666 Å, b = 6.252 Å, c = 7.866 Å, α = 90.00°, β = 112.56° and γ = 90.00°. Symmetry generates all atoms from Tb at (0.023, 0.250, 0.164), Tm at (0.243, 0.501, 0.584), Tm at (0.327, 0.750, 0.252), Tm at (0.381, 0.250, 0.020), Ru at (0.024, 0.250, 0.740) and Ru at (0.415, 0.250, 0.375).

The value obtained for the mass density is 9.890 Mg/m³. The volume is 348 Å³/cell. For the final energy, the calculation gives -86.4 eV per cell. Its formation energy is -0.303 eV per atom.

***

No. 10
Below is a relaxed structure of Cs2CrCl5, with properties calculated at the GGA-PBE level.

It has space group I4mm (No. 107), with a = 7.696 Å, b = 7.696 Å, c = 9.751 Å, α = 90.00°, β = 90.00° and γ = 90.00°. Symmetry generates all atoms from Cs at (0.000, 0.500, 0.000), Cr at (0.000, 0.000, 0.218), Cl at (0.000, 0.000, 0.989) and Cl at (0.212, 0.212, 0.254).

The value obtained for the mass density is 2.847 Mg/m³. The volume is 577 Å³/cell. For the final energy, the calculation gives -66.3 eV per cell. The calculation puts the formation energy from raw total energies at -1.57 eV/atom. The polymorph energy (0 for the lowest one) comes out at 0.009 eV per atom.

***

No. 11
Below is a relaxed structure of SiSe5, with properties calculated at the GGA-PBE level.

It has space group Cm (No. 8), with a = 13.630 Å, b = 3.698 Å, c = 8.245 Å, α = 90.00°, β = 93.43° and γ = 90.00°. Symmetry generates all atoms from Si at (0.000, 0.000, 0.000), Se at (0.016, 0.500, 0.176), Se at (0.051, 0.500, 0.668), Se at (0.140, 0.000, 0.837), Se at (0.242, 0.500, 0.032) and Se at (0.362, 0.500, 0.829).

The value obtained for the mass density is 3.386 Mg/m³. The volume is 415 Å³/cell. For the final energy, the calculation gives -46.3 eV per cell. The calculation puts the formation energy from raw total energies at -0.05 eV/atom. The polymorph energy (0 for the lowest one) comes out at 0.000 eV per atom.

***

No. 12
Below is a relaxed structure of K2UAs2S6, with properties calculated at the GGA-PBE level.

It has space group C2/m (No. 12), with a = 14.590 Å, b = 6.994 Å, c = 7.079 Å, α = 90.00°, β = 114.67° and γ = 90.00°. Symmetry generates all atoms from K at (0.247, 0.000, 0.224), U at (0.000, 0.500, 0.000), As at (0.028, 0.000, 0.352), S at (0.077, 0.238, 0.830) and S at (0.167, 0.500, 0.277).

The value obtained for the mass density is 3.331 Mg/m³. The volume is 656 Å³/cell. For the final energy, the calculation gives -113.3 eV per cell. The calculation puts the formation energy from raw total energies at -0.83 eV/atom.

***

No. 13
Below is a relaxed structure of CdAu, with properties calculated at the GGA-PBE level.

It has space group P6_3/mcm (No. 193), with a = 8.1132 Å, b = 8.1132 Å, c = 4.9399 Å, α = 90.00°, β = 90.00° and γ = 120.00°. Symmetry generates all atoms from Cd at (0.0000, 0.2370, 0.2500) and Au at (0.0000, 0.4121, 0.7500).

The value obtained for the mass density is 10.946 Mg/m³. The volume is 282 Å³/cell. For the final energy, the calculation gives -25.4 eV per cell. Its formation energy is -0.023 eV per atom.

***

No. 14
Below is a relaxed structure of AgPdSe3, with properties calculated at the GGA-PBE level.

It has space group P-1 (No. 2), with a = 5.236 Å, b = 6.686 Å, c = 6.951 Å, α = 102.76°, β = 92.27° and γ = 99.80°. Symmetry generates all atoms from Ag at (0.124, 0.431, 0.317), Pd at (0.500, 0.000, 0.000), Pd at (0.500, 0.000, 0.500), Se at (0.148, 0.819, 0.208), Se at (0.323, 0.224, 0.798) and Se at (0.410, 0.708, 0.683).

The value obtained for the mass density is 6.428 Mg/m³. The volume is 233 Å³/cell. For the final energy, the calculation gives -37.6 eV per cell. The calculation puts the formation energy from raw total energies at -0.06 eV/atom. The polymorph energy (0 for the lowest one) comes out at 0.097 eV per atom.